[1]
4
Lattice="4.1910 0.0000 0.0000 2.0955 3.6295 0.0000 2.0955 1.2098 3.4219" Properties=species:S:1:pos:R:3 comment="NiOs, optimized geometry, DFT PBE-GGA" energy_ha_per_atom=-0.2991 dos_ef_per_ev_fu=3.8 volume_a3_per_cell=52.1 sg=Fd-3m pbc="T T T"
Ni 0.0000 0.0000 0.0000
Ni 6.2865 3.6295 2.5665
Os 2.0955 1.2098 0.8555
Os 4.1910 2.4197 1.7110


[2]
13
Lattice="-5.0595 -2.4448 -1.2974 -0.5321 -6.9142 2.2863 -4.8356 0.3064 5.4626" Properties=species:S:1:pos:R:3 comment="CaSn6Pd6, optimized geometry, DFT PBE-GGA" energy_ha_per_atom=-0.1822 dos_ef_per_ev_fu=6.7 volume_a3_per_cell=258.2 sg=Immm pbc="T T T"
Ca 0.0000 0.0000 0.0000
Sn -5.2640 -5.2080 4.7072
Sn -5.1631 -3.8446 1.7443
Sn -3.3724 -2.1486 4.3827
Sn -1.9953 -4.4592 3.3662
Sn -2.5820 -1.9276 0.8836
Sn -7.8452 -7.1250 5.5679
Pd -0.2660 -3.4571 1.1431
Pd -2.7958 -4.6795 0.4945
Pd -2.4178 0.1532 2.7313
Pd -4.9475 -1.0692 2.0826
Pd -4.1355 -6.3352 2.4300
Pd -6.2917 -2.7174 4.0215